No. 1
# PmTh2B6 | Alexandria | PBE-GGA | relaxed
data_PmTh2B6
_chemical_formula_sum 'Pm1 Th2 B6'
_cell_length_a 5.7739
_cell_length_b 5.7739
_cell_length_c 4.1685
_cell_angle_alpha 90.00
_cell_angle_beta 90.00
_cell_angle_gamma 120.00
_symmetry_space_group_name_H-M 'P 6/m m m'
_symmetry_Int_Tables_number 191
_symmetry_space_group_name_Hall '-P 6 2'
loop_
_atom_site_label
_atom_site_type_symbol
_atom_site_fract_x
_atom_site_fract_y
_atom_site_fract_z
Pm1 Pm 0.0000 0.0000 0.0000
Th1 Th 0.3333 0.6667 0.0000
B1 B 0.0000 0.3303 0.5000
# Formation energy = -0.42 eV/atom



No. 2
# PmTiB12 | Alexandria | PBE-GGA | relaxed
data_PmTiB12
_chemical_formula_sum 'Pm1 Ti1 B12'
_cell_length_a 4.104
_cell_length_b 4.104
_cell_length_c 8.189
_cell_angle_alpha 90.00
_cell_angle_beta 90.00
_cell_angle_gamma 90.00
_symmetry_space_group_name_H-M 'P 4/m m m'
_symmetry_Int_Tables_number 123
_symmetry_space_group_name_Hall '-P 4 2'
loop_
_atom_site_label
_atom_site_type_symbol
_atom_site_fract_x
_atom_site_fract_y
_atom_site_fract_z
Pm1 Pm 0.000 0.000 0.000
Ti1 Ti 0.000 0.000 0.500
B1 B 0.199 0.500 0.253
B2 B 0.500 0.500 0.101
B3 B 0.500 0.500 0.402
# Formation energy = -0.17 eV/atom